# 1
A plane-wave DFT calculation with PBEsol was carried out for crystalline ScTlRu2 at its relaxed geometry.

Summary:
As for the total energy: -28.78 eV/f.u. The calculation puts the energy relative to the elements at 0.8 eV per formula unit. The calculation puts the calculated volume at 16.63 Å³ per atom. The value obtained for the total magnetic moment is 0.00 μB/atom.

abc: 3.177 4.761 8.794
angles: 90.00 90.00 90.00
Space group Immm (No. 71)
Symmetry-distinct sites (fractional):
Sc1 0.000 0.000 0.000
Tl1 0.000 0.000 0.500
Ru1 0.000 0.500 0.261



# 2
A plane-wave DFT calculation with PBEsol was carried out for crystalline CaAgSb2Te at its relaxed geometry.

Summary:
As for the total energy: -14.69 eV/f.u. The calculation puts the calculated volume at 35.20 Å³ per atom. For the uncorrected formation energy, the calculation gives 0.68 eV/atom. The value obtained for the total magnetic moment is 0.00 μB/atom.

abc: 5.613 5.613 5.586
angles: 90.00 90.00 90.00
Space group P4/mmm (No. 123)
Symmetry-distinct sites (fractional):
Ca1 0.000 0.000 0.000
Ag1 0.500 0.500 0.500
Sb1 0.000 0.500 0.000
Te1 0.000 0.000 0.500



# 3
A plane-wave DFT calculation with PBEsol was carried out for crystalline NiTeBr2 at its relaxed geometry.

Summary:
As for the total energy: -13.03 eV/f.u. The calculation puts the calculated volume at 21.89 Å³ per atom. For the uncorrected formation energy, the calculation gives 0.10 eV/atom. The value obtained for the total magnetic moment is 0.00 μB/atom.

abc: 3.331 3.331 7.892
angles: 90.00 90.00 90.00
Space group P4mm (No. 99)
Symmetry-distinct sites (fractional):
Ni1 0.000 0.000 0.000
Te1 0.500 0.500 0.162
Br1 0.000 0.000 0.436
Br2 0.500 0.500 0.799



# 4
A plane-wave DFT calculation with PBEsol was carried out for crystalline Cd2BiPb2 at its relaxed geometry.

Summary:
As for the total energy: -14.12 eV/f.u. The calculation puts the energy relative to the elements at 0.6 eV per formula unit. The calculation puts the calculated volume at 27.64 Å³ per atom. The value obtained for the total magnetic moment is 0.00 μB/atom.

abc: 9.080 9.080 3.353
angles: 90.00 90.00 90.00
Space group P4/mbm (No. 127)
Symmetry-distinct sites (fractional):
Cd1 0.115 0.385 0.000
Bi1 0.000 0.000 0.500
Pb1 0.185 0.685 0.500



# 5
A plane-wave DFT calculation with PBEsol was carried out for crystalline K3SnPCO7 at its relaxed geometry.

Summary:
As for the total energy: -84.73 eV/f.u. The calculation puts the calculated volume at 16.29 Å³ per atom. For the uncorrected formation energy, the calculation gives -1.91 eV/atom. The value obtained for the total magnetic moment is 0.00 μB/atom.

abc: 6.086 7.103 9.835
angles: 90.00 94.91 90.00
Space group P2_1/m (No. 11)
Symmetry-distinct sites (fractional):
K1 0.212 0.004 0.237
K2 0.279 0.250 0.581
Sn1 0.307 0.750 0.871
P1 0.282 0.250 0.899
C1 0.250 0.750 0.575
O1 0.032 0.250 0.874
O2 0.058 0.750 0.622
O3 0.276 0.750 0.447
O4 0.348 0.250 0.057
O5 0.384 0.074 0.832
O6 0.428 0.750 0.663



# 6
A plane-wave DFT calculation with PBEsol was carried out for crystalline NbAuSe2N at its relaxed geometry.

Summary:
As for the total energy: -25.59 eV/f.u. The calculation puts the calculated volume at 19.47 Å³ per atom. For the uncorrected formation energy, the calculation gives 1.08 eV/atom. The value obtained for the total magnetic moment is 0.48 μB/atom.

abc: 5.143 5.143 3.680
angles: 90.00 90.00 90.00
Space group P4/mmm (No. 123)
Symmetry-distinct sites (fractional):
Nb1 0.000 0.000 0.000
Au1 0.500 0.500 0.500
Se1 0.000 0.500 0.500
N1 0.500 0.500 0.000



# 7
A plane-wave DFT calculation with PBEsol was carried out for crystalline CuPF2 at its relaxed geometry.

Summary:
As for the total energy: -14.92 eV/f.u. The calculation puts the calculated volume at 11.36 Å³ per atom. For the uncorrected formation energy, the calculation gives -0.23 eV/atom. The value obtained for the total magnetic moment is 0.00 μB/atom.

abc: 5.664 5.664 5.664
angles: 90.00 90.00 90.00
Space group Fm-3m (No. 225)
Symmetry-distinct sites (fractional):
Cu1 0.000 0.000 0.000
P1 0.000 0.000 0.500
F1 0.250 0.250 0.250



# 8
A plane-wave DFT calculation with PBEsol was carried out for crystalline FeAsS3 at its relaxed geometry.

Summary:
As for the total energy: -25.47 eV/f.u. The calculation puts the calculated volume at 16.54 Å³ per atom. For the uncorrected formation energy, the calculation gives 0.35 eV/atom. The value obtained for the total magnetic moment is 0.44 μB/atom.

abc: 4.357 4.357 4.357
angles: 90.00 90.00 90.00
Space group Pm-3m (No. 221)
Symmetry-distinct sites (fractional):
Fe1 0.000 0.000 0.000
As1 0.500 0.500 0.500
S1 0.000 0.000 0.500



# 9
A plane-wave DFT calculation with PBEsol was carried out for crystalline Ag2RhSe at its relaxed geometry.

Summary:
As for the total energy: -17.59 eV/f.u. The calculation puts the calculated volume at 16.32 Å³ per atom. For the uncorrected formation energy, the calculation gives 0.25 eV/atom. The value obtained for the total magnetic moment is 0.00 μB/atom.

abc: 5.275 8.793 2.814
angles: 90.00 90.00 90.00
Space group Cmmm (No. 65)
Symmetry-distinct sites (fractional):
Ag1 0.250 0.250 0.000
Rh1 0.000 0.000 0.500
Se1 0.000 0.500 0.500



# 10
A plane-wave DFT calculation with PBEsol was carried out for crystalline TaInOF2 at its relaxed geometry.

Summary:
As for the total energy: -33.51 eV/f.u. The calculation puts the calculated volume at 14.86 Å³ per atom. For the uncorrected formation energy, the calculation gives -1.77 eV/atom. The value obtained for the total magnetic moment is 0.33 μB/atom.

abc: 4.339 4.339 3.945
angles: 90.00 90.00 90.00
Space group P4/mmm (No. 123)
Symmetry-distinct sites (fractional):
Ta1 0.000 0.000 0.000
In1 0.500 0.500 0.500
O1 0.000 0.000 0.500
F1 0.000 0.500 0.000



# 11
A plane-wave DFT calculation with PBEsol was carried out for crystalline Zn5Mo at its relaxed geometry.

Summary:
As for the total energy: -19.18 eV/f.u. The calculation puts the energy relative to the elements at 0.5 eV per formula unit. The calculation puts the calculated volume at 14.16 Å³ per atom. The value obtained for the total magnetic moment is 0.00 μB/atom.

abc: 4.479 2.702 14.040
angles: 90.00 90.00 90.00
Space group Amm2 (No. 38)
Symmetry-distinct sites (fractional):
Zn1 0.000 0.000 0.000
Zn2 0.000 0.000 0.330
Zn3 0.000 0.000 0.667
Zn4 0.500 0.000 0.551
Zn5 0.500 0.000 0.886
Mo1 0.500 0.000 0.219



# 12
A plane-wave DFT calculation with PBEsol was carried out for crystalline MgIn2BP at its relaxed geometry.

Summary:
As for the total energy: -17.80 eV/f.u. The calculation puts the energy relative to the elements at 2.7 eV per formula unit. The calculation puts the calculated volume at 22.09 Å³ per atom. The value obtained for the total magnetic moment is 0.00 μB/atom.

abc: 5.672 5.672 3.432
angles: 90.00 90.00 90.00
Space group P4/mmm (No. 123)
Symmetry-distinct sites (fractional):
Mg1 0.000 0.000 0.000
In1 0.000 0.500 0.500
B1 0.500 0.500 0.000
P1 0.500 0.500 0.500



Q: Which value of total magnetic moment does entry 12 give?
A: 0.00 μB/atom



Copy entry 4 word for word.
A plane-wave DFT calculation with PBEsol was carried out for crystalline Cd2BiPb2 at its relaxed geometry.

Summary:
As for the total energy: -14.12 eV/f.u. The calculation puts the energy relative to the elements at 0.6 eV per formula unit. The calculation puts the calculated volume at 27.64 Å³ per atom. The value obtained for the total magnetic moment is 0.00 μB/atom.

abc: 9.080 9.080 3.353
angles: 90.00 90.00 90.00
Space group P4/mbm (No. 127)
Symmetry-distinct sites (fractional):
Cd1 0.115 0.385 0.000
Bi1 0.000 0.000 0.500
Pb1 0.185 0.685 0.500